A plane-wave DFT calculation with GGA-PBE was carried out for a geometry-optimized Pr12Cd6Ag structure.

- Total DFT energy (no corrections): -3.576 eV per atom
- Formation enthalpy at 0 K: -218 kJ/mol of formula units
- Total moment: 0.0 μB/f.u.

Unit cell a=8.3168 b=8.3168 c=8.3168 alpha=88.35 beta=88.35 gamma=88.35
With the nearest neighbours (Å) after each atom.
Sites, in units of the cell vectors:
Pr 0.8067 0.5283 0.4451  4 Cd 3.37-3.71, 5 Pr 3.38-3.65
Pr 0.4451 0.8067 0.5283  4 Cd 3.37-3.71, 5 Pr 3.38-3.65
Pr 0.5283 0.4451 0.8067  4 Cd 3.37-3.71, 5 Pr 3.38-3.65
Pr 0.1933 0.4717 0.5549  4 Cd 3.37-3.71, 5 Pr 3.38-3.65
Pr 0.5549 0.1933 0.4717  4 Cd 3.37-3.71, 5 Pr 3.38-3.65
Pr 0.4717 0.5549 0.1933  4 Cd 3.37-3.71, 5 Pr 3.38-3.65
Pr 0.0237 0.1485 0.3724  4 Pr 3.24-3.55, 4 Cd 3.35-3.58, 1 Ag 3.38
Pr 0.8515 0.6276 0.9763  4 Pr 3.24-3.55, 4 Cd 3.35-3.58, 1 Ag 3.38
Pr 0.6276 0.9763 0.8515  4 Pr 3.24-3.55, 4 Cd 3.35-3.58, 1 Ag 3.38
Pr 0.9763 0.8515 0.6276  4 Pr 3.24-3.55, 4 Cd 3.35-3.58, 1 Ag 3.38
Pr 0.1485 0.3724 0.0237  4 Pr 3.24-3.55, 4 Cd 3.35-3.58, 1 Ag 3.38
Pr 0.3724 0.0237 0.1485  4 Pr 3.24-3.55, 4 Cd 3.35-3.58, 1 Ag 3.38
Cd 0.7428 0.8928 0.2579  1 Ag 3.12, 2 Cd 3.25, 6 Pr 3.35-3.42
Cd 0.7421 0.2572 0.1072  1 Ag 3.12, 2 Cd 3.25, 6 Pr 3.35-3.42
Cd 0.1072 0.7421 0.2572  1 Ag 3.12, 2 Cd 3.25, 6 Pr 3.35-3.42
Cd 0.2572 0.1072 0.7421  1 Ag 3.12, 2 Cd 3.25, 6 Pr 3.35-3.42
Cd 0.2579 0.7428 0.8928  1 Ag 3.12, 2 Cd 3.25, 6 Pr 3.35-3.42
Cd 0.8928 0.2579 0.7428  1 Ag 3.12, 2 Cd 3.25, 6 Pr 3.35-3.42
Ag 0.0000 0.0000 0.0000  6 Cd 3.12, 6 Pr 3.38


A plane-wave DFT calculation with GGA-PBE was carried out for a geometry-optimized RbPmPdO3 structure.

- E_form (uncorrected): -1.92 eV per atom
- Total DFT energy (no corrections): -6.218 eV per atom
- Total moment: 0.0 μB/f.u.

Unit cell a=3.9729 b=6.9712 c=7.8876 alpha=103.77 beta=90.00 gamma=106.56
With the nearest neighbours (Å) after each atom.
Sites, in units of the cell vectors:
Rb 0.3580 0.7160 0.9368  2 O 2.77-3.05
Rb 0.6420 0.2840 0.0632  2 O 2.77-3.05
Pm 0.6494 0.2989 0.5742  7 O 2.34-2.59
Pm 0.3506 0.7011 0.4258  7 O 2.34-2.59
Pd 0.0083 0.0167 0.2864  4 O 2.01-2.11
Pd 0.9917 0.9833 0.7136  4 O 2.01-2.11
O 0.8497 0.6993 0.2376  1 Pd 2.06
O 0.8295 0.6591 0.6248  1 Pd 2.11, 1 Pm 2.34
O 0.5075 0.0150 0.3236  2 Pd 2.01
O 0.1705 0.3409 0.3752  1 Pd 2.11, 1 Pm 2.34
O 0.4925 0.9850 0.6764  2 Pd 2.01
O 0.1503 0.3007 0.7624  1 Pd 2.06


A plane-wave DFT calculation with GGA-PBE was carried out for a geometry-optimized LiPPbS2 structure.

- E_form (uncorrected): 0.52 eV per atom
- Total DFT energy (no corrections): -3.336 eV per atom
- Energy above the most stable polymorph in this dataset: 0.254 eV/atom
- Total moment: 2.0 μB/f.u.

Unit cell a=5.3220 b=5.3220 c=5.2767 alpha=90.00 beta=90.00 gamma=90.00
With the nearest neighbours (Å) after each atom.
Sites, in units of the cell vectors:
Pb 0.0000 0.0000 0.0000  2 P 2.64, 4 S 2.66
P 0.0000 0.0000 0.5000  2 Pb 2.64
S 0.0000 0.5000 0.0000  2 Pb 2.66
S 0.5000 0.0000 0.0000  2 Pb 2.66
Li 0.5000 0.5000 0.5000  8 S 3.75, 4 P 3.76


A plane-wave DFT calculation with GGA-PBE was carried out for a geometry-optimized CdC2S structure.

- E_form (uncorrected): 2.63 eV per atom
- Total DFT energy (no corrections): -3.243 eV per atom
- Energy above the most stable polymorph in this dataset: 1.354 eV/atom
- Total moment: 0.0 μB/f.u.

Unit cell a=4.1585 b=4.1585 c=4.1585 alpha=60.00 beta=60.00 gamma=60.00
With the nearest neighbours (Å) after each atom.
Sites, in units of the cell vectors:
S 0.0000 0.0000 0.0000  8 C 2.55
C 0.2500 0.2500 0.2500  4 S 2.55, 4 Cd 2.55
C 0.7500 0.7500 0.7500  4 Cd 2.55, 4 S 2.55
Cd 0.5000 0.5000 0.5000  8 C 2.55